1.
DFT (PBE-GGA) results for crystalline Ag2HgBiF8 at its relaxed geometry. Values from VASP.

Results
D(E_F) ... 4.13 states/eV/f.u.

Quantum ESPRESSO input file:
```
&SYSTEM
  ibrav = 0, nat = 12, ntyp = 4
/
ATOMIC_SPECIES
Ag 107.87 Ag.upf
Hg 200.59 Hg.upf
Bi 208.98 Bi.upf
F 19.00 F.upf
ATOMIC_POSITIONS crystal
Ag 0.9999 0.0023 0.2402
Ag 0.0001 0.9977 0.7598
Hg 0.5000 0.5000 0.0000
Bi 0.5000 0.5000 0.5000
F 0.0008 0.7332 0.5313
F 0.0008 0.7495 0.0196
F 0.4990 0.2344 0.7142
F 0.4991 0.2820 0.2380
F 0.5009 0.7180 0.7620
F 0.5010 0.7656 0.2858
F 0.9992 0.2505 0.9804
F 0.9992 0.2668 0.4687
CELL_PARAMETERS angstrom
4.0833 0.0000 0.0000
-0.0121 5.6562 0.0000
-0.0001 -0.4395 7.9209
```


2.
DFT (PBE-GGA) results for crystalline Ta2IrSe4 at its relaxed geometry. Values from VASP.

Results
D(E_F) ... 6.56 states/eV/f.u.

Quantum ESPRESSO input file:
```
&SYSTEM
  ibrav = 0, nat = 14, ntyp = 3
/
ATOMIC_SPECIES
Ta 180.95 Ta.upf
Ir 192.22 Ir.upf
Se 78.96 Se.upf
ATOMIC_POSITIONS crystal
Ta 0.0000 0.0000 0.1051
Ta 0.0000 0.0000 0.8949
Ta 0.5000 0.5000 0.3949
Ta 0.5000 0.5000 0.6051
Ir 0.0000 0.0000 0.5000
Ir 0.5000 0.5000 0.0000
Se 0.0000 0.0000 0.2979
Se 0.0000 0.0000 0.7021
Se 0.0000 0.5000 0.0000
Se 0.0000 0.5000 0.5000
Se 0.5000 0.0000 0.0000
Se 0.5000 0.0000 0.5000
Se 0.5000 0.5000 0.2021
Se 0.5000 0.5000 0.7979
CELL_PARAMETERS angstrom
5.0315 0.0000 0.0000
0.0000 5.0315 0.0000
0.0000 0.0000 12.5082
```


3.
DFT (PBE-GGA) results for crystalline TbNd3In at its relaxed geometry. Values from VASP.

Results
Energy relative to the elements ... 0.140 eV/atom
D(E_F) ... 5.77 states/eV/f.u.
Polymorph energy (0 for the lowest one) ... 31.9 kJ per mole of atoms

Quantum ESPRESSO input file:
```
&SYSTEM
  ibrav = 0, nat = 10, ntyp = 3
/
ATOMIC_SPECIES
Tb 158.93 Tb.upf
Nd 144.24 Nd.upf
In 114.82 In.upf
ATOMIC_POSITIONS crystal
Tb 0.2484 0.2500 0.4984
Tb 0.7516 0.7500 0.5016
Nd 0.3681 0.1025 0.2287
Nd 0.3681 0.6394 0.7656
Nd 0.7573 0.0775 0.1798
Nd 0.8738 0.1394 0.7713
Nd 0.8738 0.6025 0.2344
Nd 0.8978 0.5775 0.8202
In 0.2512 0.5630 0.1881
In 0.3749 0.0630 0.8119
CELL_PARAMETERS angstrom
-5.6447 4.2777 3.4948
5.6447 -4.2777 3.4948
5.6447 4.2777 -3.4948
```


4.
DFT (PBE-GGA) results for crystalline Ac2TlGe3Au4 at its relaxed geometry. Values from VASP.

Results
Energy relative to the elements ... -0.549 eV/atom
D(E_F) ... 4.46 states/eV/f.u.

Quantum ESPRESSO input file:
```
&SYSTEM
  ibrav = 0, nat = 10, ntyp = 4
/
ATOMIC_SPECIES
Ac 227.00 Ac.upf
Tl 204.38 Tl.upf
Ge 72.64 Ge.upf
Au 196.97 Au.upf
ATOMIC_POSITIONS crystal
Ac 0.0000 0.5000 0.2334
Ac 0.5000 0.0000 0.7666
Tl 0.0000 0.0000 0.5000
Ge 0.0000 0.5000 0.8763
Ge 0.5000 0.0000 0.1237
Ge 0.5000 0.5000 0.5000
Au 0.0000 0.0000 0.0000
Au 0.0000 0.5000 0.6500
Au 0.5000 0.0000 0.3500
Au 0.5000 0.5000 0.0000
CELL_PARAMETERS angstrom
4.5936 0.0000 0.0000
0.0000 4.5936 0.0000
0.0000 0.0000 11.1878
```


Looking at total DFT energy (no corrections) for the records above, in order, we have -44.28; -86.27; -41.95; -43.04 eV per cell.
Looking at ρ for the records above, in order, we have 7.06; 9.12; 6.95; 11.71 g/cm3.